1.
Computed, not measured: crystalline Sr2Li3Zn2 at its relaxed geometry at the PBE level of DFT.

size of the total moment: 0.000 μB per atom
formation energy: -0.117 eV per atom

Cell: 11.621 4.356 8.093 Å, 90.00 115.05 90.00°
Space group C2/m (No. 12)
One atom of each set of equivalent atoms:
Sr  0.135  0.000  0.272 (multiplicity 4)
Li  0.000  0.500  0.500 (multiplicity 2)
Li  0.154  0.500  0.931 (multiplicity 4)
Zn  0.138  0.000  0.700 (multiplicity 4)

---

2.
Computed, not measured: crystalline LiAcPrTl at its relaxed geometry at the PBE level of DFT.

size of the total moment: 0.000 μB per atom
formation energy: -0.176 eV per atom

Cell: 4.466 5.222 5.367 Å, 90.00 90.00 90.00°
Space group Pmmm (No. 47)
One atom of each set of equivalent atoms:
Li  0.000  0.000  0.000 (multiplicity 1)
Ac  0.500  0.500  0.000 (multiplicity 1)
Pr  0.500  0.000  0.500 (multiplicity 1)
Tl  0.000  0.500  0.500 (multiplicity 1)

---

3.
Computed, not measured: crystalline Li3CuOF3 at its relaxed geometry at the PBE level of DFT.

size of the total moment: 0.000 μB per atom
E: -4.85 eV/atom

Cell: 2.815 2.815 9.182 Å, 90.00 90.00 90.00°
Space group P4/mmm (No. 123)
One atom of each set of equivalent atoms:
Li  0.000  0.000  0.000 (multiplicity 1)
Li  0.500  0.500  0.227 (multiplicity 2)
Cu  0.000  0.000  0.500 (multiplicity 1)
O  0.500  0.500  0.500 (multiplicity 1)
F  0.000  0.000  0.225 (multiplicity 2)
F  0.500  0.500  0.000 (multiplicity 1)

---

4.
Computed, not measured: crystalline NaSrSCl2 at its relaxed geometry at the PBE level of DFT.

size of the total moment: 0.201 μB per atom
E: -3.50 eV/atom

Cell: 5.653 5.653 5.823 Å, 90.00 90.00 90.00°
Space group P4/mmm (No. 123)
One atom of each set of equivalent atoms:
Na  0.000  0.000  0.000 (multiplicity 1)
Sr  0.500  0.500  0.500 (multiplicity 1)
S  0.500  0.500  0.000 (multiplicity 1)
Cl  0.000  0.500  0.500 (multiplicity 2)

---

5.
Computed, not measured: crystalline PaB2Ir at its relaxed geometry at the PBE level of DFT.

size of the total moment: 0.000 μB per atom
formation energy: -0.645 eV per atom

Cell: 5.903 3.737 9.630 Å, 90.00 90.00 90.00°
Space group Pnma (No. 62)
One atom of each set of equivalent atoms:
Pa  0.132  0.250  0.131 (multiplicity 4)
B  0.023  0.250  0.675 (multiplicity 4)
B  0.215  0.250  0.824 (multiplicity 4)
Ir  0.135  0.250  0.432 (multiplicity 4)

---

6.
Computed, not measured: crystalline Li2MgPd at its relaxed geometry at the PBE level of DFT.

size of the total moment: 0.000 μB per atom
formation energy: -0.392 eV per atom

Cell: 4.508 4.508 6.305 Å, 90.00 90.00 90.00°
Space group I-4m2 (No. 119)
One atom of each set of equivalent atoms:
Li  0.000  0.000  0.000 (multiplicity 2)
Li  0.000  0.500  0.250 (multiplicity 2)
Mg  0.000  0.000  0.500 (multiplicity 2)
Pd  0.000  0.500  0.750 (multiplicity 2)

---

7.
Computed, not measured: crystalline InHPdPb2 at its relaxed geometry at the PBE level of DFT.

size of the total moment: 0.000 μB per atom
E: -3.73 eV/atom

Cell: 5.704 5.704 3.417 Å, 90.00 90.00 90.00°
Space group P4/mmm (No. 123)
One atom of each set of equivalent atoms:
In  0.000  0.000  0.000 (multiplicity 1)
H  0.500  0.500  0.000 (multiplicity 1)
Pd  0.500  0.500  0.500 (multiplicity 1)
Pb  0.000  0.500  0.500 (multiplicity 2)

---

8.
Computed, not measured: crystalline Zn2Ag4Au5 at its relaxed geometry at the PBE level of DFT.

size of the total moment: 0.000 μB per atom
formation energy: -0.052 eV per atom

Cell: 7.115 2.932 9.322 Å, 90.00 93.25 90.00°
Space group P2/m (No. 10)
One atom of each set of equivalent atoms:
Zn  0.062  0.000  0.134 (multiplicity 2)
Ag  0.163  0.500  0.393 (multiplicity 2)
Ag  0.276  0.500  0.943 (multiplicity 2)
Au  0.189  0.000  0.671 (multiplicity 2)
Au  0.425  0.000  0.199 (multiplicity 2)
Au  0.500  0.000  0.500 (multiplicity 1)

---

9.
Computed, not measured: crystalline CoIr4 at its relaxed geometry at the PBE level of DFT.

size of the total moment: 0.401 μB per atom
formation energy: 0.213 eV per atom

Cell: 4.704 4.739 6.876 Å, 90.00 111.58 90.00°
Space group P2_1/c (No. 14)
One atom of each set of equivalent atoms:
Co  0.000  0.000  0.000 (multiplicity 2)
Ir  0.205  0.065  0.407 (multiplicity 4)
Ir  0.408  0.581  0.306 (multiplicity 4)

---

10.
Computed, not measured: crystalline AcDy15Tm4 at its relaxed geometry at the PBE level of DFT.

size of the total moment: 0.000 μB per atom
formation energy: 0.031 eV per atom

Cell: 5.021 5.021 25.132 Å, 90.00 90.00 90.00°
Space group P4/mmm (No. 123)
One atom of each set of equivalent atoms:
Ac  0.000  0.000  0.000 (multiplicity 1)
Dy  0.000  0.500  0.106 (multiplicity 4)
Dy  0.000  0.500  0.303 (multiplicity 4)
Dy  0.000  0.500  0.500 (multiplicity 2)
Dy  0.500  0.500  0.000 (multiplicity 1)
Dy  0.500  0.500  0.205 (multiplicity 2)
Dy  0.500  0.500  0.401 (multiplicity 2)
Tm  0.000  0.000  0.204 (multiplicity 2)
Tm  0.000  0.000  0.401 (multiplicity 2)

---

11.
Computed, not measured: crystalline K5Rb8 at its relaxed geometry at the PBE level of DFT.

size of the total moment: 0.000 μB per atom
formation energy: 0.037 eV per atom

Cell: 17.230 9.224 15.757 Å, 90.00 116.56 90.00°
Space group C2/m (No. 12)
One atom of each set of equivalent atoms:
K  0.000  0.000  0.000 (multiplicity 2)
K  0.000  0.263  0.500 (multiplicity 4)
K  0.212  0.500  0.432 (multiplicity 4)
Rb  0.020  0.500  0.863 (multiplicity 4)
Rb  0.059  0.000  0.291 (multiplicity 4)
Rb  0.239  0.245  0.821 (multiplicity 8)

---

12.
Computed, not measured: crystalline CaTaSi2 at its relaxed geometry at the PBE level of DFT.

size of the total moment: 0.000 μB per atom
E: -6.12 eV/atom

Cell: 6.155 7.917 2.896 Å, 90.00 90.00 90.00°
Space group Cmmm (No. 65)
One atom of each set of equivalent atoms:
Ca  0.000  0.000  0.000 (multiplicity 2)
Ta  0.000  0.500  0.000 (multiplicity 2)
Si  0.250  0.250  0.500 (multiplicity 4)

---

13.
Computed, not measured: crystalline CaLaNi17 at its relaxed geometry at the PBE level of DFT.

size of the total moment: 0.423 μB per atom
formation energy: -0.107 eV per atom

Cell: 8.3681 8.3681 12.1298 Å, 90.00 90.00 120.00°
Space group R3m (No. 160, hexagonal axes)
One atom of each set of equivalent atoms:
Ca  0.0000  0.0000  0.0000 (multiplicity 3)
La  0.0000  0.0000  0.6842 (multiplicity 3)
Ni  0.0000  0.0000  0.2425 (multiplicity 3)
Ni  0.0000  0.0000  0.4388 (multiplicity 3)
Ni  0.9997  0.2889  0.3406 (multiplicity 18)
Ni  0.0015  0.5008  0.8400 (multiplicity 9)
Ni  0.0038  0.5019  0.1865 (multiplicity 9)
Ni  0.1691  0.3382  0.8292 (multiplicity 9)

---

14.
Computed, not measured: crystalline GaTcP2S at its relaxed geometry at the PBE level of DFT.

size of the total moment: 0.000 μB per atom
E: -5.29 eV/atom

Cell: 4.493 4.493 5.239 Å, 90.00 90.00 90.00°
Space group P4/mmm (No. 123)
One atom of each set of equivalent atoms:
Ga  0.000  0.000  0.000 (multiplicity 1)
Tc  0.500  0.500  0.500 (multiplicity 1)
P  0.000  0.500  0.500 (multiplicity 2)
S  0.500  0.500  0.000 (multiplicity 1)

---

15.
Computed, not measured: crystalline La5Sm4Hg4 at its relaxed geometry at the PBE level of DFT.

size of the total moment: 0.000 μB per atom
formation energy: -0.309 eV per atom

Cell: 12.554 12.554 5.292 Å, 90.00 90.00 90.00°
Space group I4/m (No. 87)
One atom of each set of equivalent atoms:
La  0.000  0.000  0.000 (multiplicity 2)
La  0.121  0.188  0.500 (multiplicity 8)
Sm  0.095  0.395  0.000 (multiplicity 8)
Hg  0.093  0.760  0.000 (multiplicity 8)

---

16.
Computed, not measured: crystalline TlBr2Cl5 at its relaxed geometry at the PBE level of DFT.

size of the total moment: 0.000 μB per atom
E: -2.18 eV/atom

Cell: 7.151 7.415 8.008 Å, 99.24 112.76 101.18°
Space group P1 (No. 1)
One atom of each set of equivalent atoms:
Tl  0.000  0.000  0.000 (multiplicity 1)
Br  0.280  0.615  0.213 (multiplicity 1)
Br  0.492  0.635  0.586 (multiplicity 1)
Cl  0.129  0.869  0.790 (multiplicity 1)
Cl  0.190  0.917  0.316 (multiplicity 1)
Cl  0.357  0.343  0.108 (multiplicity 1)
Cl  0.673  0.649  0.895 (multiplicity 1)
Cl  0.782  0.188  0.046 (multiplicity 1)

---

17.
Computed, not measured: crystalline Er2InPb2 at its relaxed geometry at the PBE level of DFT.

size of the total moment: 0.000 μB per atom
formation energy: -0.150 eV per atom

Cell: 5.050 17.252 3.585 Å, 90.00 90.00 90.00°
Space group Pbam (No. 55)
One atom of each set of equivalent atoms:
Er  0.006  0.180  0.000 (multiplicity 4)
In  0.000  0.000  0.000 (multiplicity 2)
Pb  0.006  0.361  0.500 (multiplicity 4)

---

18.
Computed, not measured: crystalline Pm6SiSe2S3 at its relaxed geometry at the PBE level of DFT.

size of the total moment: 0.000 μB per atom
E: -6.22 eV/atom

Cell: 18.018 4.118 8.264 Å, 90.00 102.86 90.00°
Space group C2/m (No. 12)
One atom of each set of equivalent atoms:
Pm  0.002  0.000  0.254 (multiplicity 4)
Pm  0.160  0.500  0.093 (multiplicity 4)
Pm  0.163  0.500  0.571 (multiplicity 4)
Si  0.000  0.500  0.500 (multiplicity 2)
Se  0.170  0.000  0.837 (multiplicity 4)
S  0.000  0.500  0.000 (multiplicity 2)
S  0.168  0.000  0.333 (multiplicity 4)

---

19.
Computed, not measured: crystalline TiCdHg at its relaxed geometry at the PBE level of DFT.

size of the total moment: 0.000 μB per atom
formation energy: 0.037 eV per atom

Cell: 9.766 3.069 8.246 Å, 90.00 97.10 90.00°
Space group C2/m (No. 12)
One atom of each set of equivalent atoms:
Ti  0.141  0.000  0.425 (multiplicity 4)
Cd  0.148  0.500  0.101 (multiplicity 4)
Hg  0.102  0.500  0.723 (multiplicity 4)

---

20.
Computed, not measured: crystalline MgBe2B at its relaxed geometry at the PBE level of DFT.

size of the total moment: 0.000 μB per atom
formation energy: 0.071 eV per atom

Cell: 10.496 2.978 6.005 Å, 90.00 112.38 90.00°
Space group C2/m (No. 12)
One atom of each set of equivalent atoms:
Mg  0.027  0.000  0.259 (multiplicity 4)
Be  0.176  0.500  0.681 (multiplicity 4)
Be  0.194  0.500  0.066 (multiplicity 4)
B  0.234  0.500  0.417 (multiplicity 4)